! SrLi2Ac2Pb2 PBE optimized geometry; values from VASP
! VASP energy, eV for the cell shown: -23.584
! Volume, Å³ per cell: 232.71
&SYSTEM
  ibrav = 0, nat = 7, ntyp = 4
/
ATOMIC_SPECIES
Sr 87.62 Sr.upf
Li 6.94 Li.upf
Ac 227.00 Ac.upf
Pb 207.20 Pb.upf
CELL_PARAMETERS angstrom
-2.562 -3.610 2.427
1.879 -4.677 0.277
4.718 -0.244 9.868
ATOMIC_POSITIONS angstrom
Sr 0.000 0.000 0.000
Li 0.503 -5.036 3.540
Li 3.532 -3.495 9.031
Ac 2.843 -1.199 6.468
Ac 1.192 -7.332 6.104
Pb 3.219 -6.300 9.777
Pb 0.816 -2.231 2.794